(1)
This record from Alexandria describes a relaxed Ba2Ga6NiRh crystal. The functional is PBE.

Results
E_tot (eV per formula unit): -39.94
Energy of formation (eV/atom): -0.480
Total magnetization (μB/f.u.): 0.0

Cell lengths 6.676, 6.933, 6.927 Å; angles 57.43, 61.33, 89.96 degrees
Atoms (fractional coordinates):
Ga: 0.256 0.331 0.490
Ga: 0.669 0.744 0.077
Ga: 0.744 0.254 0.925
Ga: 0.331 0.256 0.923
Ga: 0.744 0.669 0.510
Ga: 0.256 0.746 0.075
Rh: 0.000 0.000 0.000
Ba: 0.213 0.785 0.571
Ba: 0.787 0.215 0.429
Ni: 0.500 0.500 0.000



(2)
This record from Alexandria describes a relaxed BaGaNi2Ru crystal. The functional is PBE.

Results
E_tot (eV per formula unit): -14.84
Energy of formation (eV/atom): 2.190
Total magnetization (μB/f.u.): 1.9

Cell lengths 4.609, 5.271, 4.609 Å; angles 90.00, 90.00, 90.00 degrees
Site moments in Bohr magnetons follow the coordinates.
Atoms (fractional coordinates):
Ni: 0.500 0.000 0.000  0.04
Ni: 0.000 0.000 0.500  -0.01
Ga: 0.000 0.500 0.000  -0.02
Ba: 0.000 0.000 0.000  -0.03
Ru: 0.500 0.500 0.500  1.99



(3)
This record from Alexandria describes a relaxed Ba2SrGaNi crystal. The functional is PBE.

Results
E_tot (eV per formula unit): -14.49
Energy of formation (eV/atom): -0.032
Total magnetization (μB/f.u.): 0.0

Cell lengths 6.169, 6.169, 4.852 Å; angles 90.00, 90.00, 90.00 degrees
Atoms (fractional coordinates):
Sr: 0.500 0.500 0.500
Ba: 0.500 0.000 0.000
Ba: 0.000 0.500 0.000
Ga: 0.000 0.000 0.500
Ni: 0.000 0.000 0.000



(4)
This record from Alexandria describes a relaxed BaSr2GaNi crystal. The functional is PBE.

Results
E_tot (eV per formula unit): -14.40
Energy of formation (eV/atom): -0.061
Total magnetization (μB/f.u.): 0.0

Cell lengths 5.841, 5.841, 4.912 Å; angles 90.00, 90.00, 90.00 degrees
Atoms (fractional coordinates):
Ni: 0.000 0.000 0.000
Ga: 0.000 0.000 0.500
Sr: 0.000 0.500 0.000
Sr: 0.500 0.000 0.000
Ba: 0.500 0.500 0.500